VASP calculation (PBE) on a relaxed structure of Ce5Os2Pt.

It has space group I4/mcm (No. 140), with a = 7.8102 Å, b = 7.8102 Å, c = 12.1537 Å, α = 90.00°, β = 90.00° and γ = 90.00°. The distinct sites, in fractional coordinates, are Ce at (0.0000, 0.0000, 0.0000), Ce at (0.1643, 0.3357, 0.1480), Os at (0.1338, 0.3662, 0.5000) and Pt at (0.0000, 0.0000, 0.2500).

The total magnetic moment is 0.00 μB/cell. The excess energy over the best structure of this formula in the dataset is 0 meV/atom.